one:
Material: NdSm4Er7
Method: DFT, PBE
State: optimized geometry

```
data_NdSm4Er7
_cell_length_a 12.108
_cell_length_b 5.871
_cell_length_c 12.696
_cell_angle_alpha 90.00
_cell_angle_beta 117.98
_cell_angle_gamma 90.00
_symmetry_space_group_name_H-M 'C 1 2/m 1'
_symmetry_Int_Tables_number 12
_symmetry_space_group_name_Hall '-C 2y'
loop_
_atom_site_label
_atom_site_type_symbol
_atom_site_fract_x
_atom_site_fract_y
_atom_site_fract_z
_atom_site_occupancy
Nd1 Nd 0.000 0.000 0.000 1
Sm1 Sm 0.135 0.500 0.776 1
Sm2 Sm 0.233 0.000 0.673 1
Er1 Er 0.000 0.500 0.000 1
Er2 Er 0.065 0.000 0.321 1
Er3 Er 0.133 0.500 0.498 1
Er4 Er 0.211 0.000 0.923 1
```

two:
Material: NdSm4Er7
Method: DFT, PBE
State: optimized geometry

```
data_NdSm4Er7
_cell_length_a 6.556
_cell_length_b 6.833
_cell_length_c 9.009
_cell_angle_alpha 84.50
_cell_angle_beta 77.03
_cell_angle_gamma 81.19
_symmetry_space_group_name_H-M 'P -1'
_symmetry_Int_Tables_number 2
_symmetry_space_group_name_Hall '-P 1'
loop_
_atom_site_label
_atom_site_type_symbol
_atom_site_fract_x
_atom_site_fract_y
_atom_site_fract_z
_atom_site_occupancy
Nd1 Nd 0.000 0.000 0.000 1
Sm1 Sm 0.165 0.612 0.312 1
Sm2 Sm 0.362 0.197 0.711 1
Er1 Er 0.000 0.500 0.000 1
Er2 Er 0.189 0.104 0.384 1
Er3 Er 0.318 0.705 0.645 1
Er4 Er 0.486 0.250 0.048 1
```

two has the most favorable energy; the next structure is 17.4 kJ/mol of atoms above.